1.
Material: Y2TlAg
Method: DFT, GGA-PBE
State: optimized geometry

Unit cell a=5.096 b=5.096 c=6.461 alpha=76.46 beta=76.46 gamma=43.88
Fractional positions:
Tl  0.250  0.250  0.250
Ag  0.750  0.750  0.750
Y  0.492  0.492  0.512
Y  0.008  0.008  0.988

Calculated values
E above lowest polymorph = 0.79 eV per formula unit
space group = C2/m



2.
Material: Y5Tl4Ag
Method: DFT, GGA-PBE
State: optimized geometry

Unit cell a=3.633 b=3.633 c=20.301 alpha=90.00 beta=90.00 gamma=90.00
Site moments in Bohr magnetons follow the coordinates.
Fractional positions:
Tl  0.000  0.000  0.809  0.00
Tl  0.000  0.000  0.397  0.00
Tl  0.000  0.000  0.191  0.00
Y  0.500  0.500  0.500  0.07
Y  0.500  0.500  0.910  0.04
Y  0.500  0.500  0.090  0.04
Tl  0.000  0.000  0.603  0.00
Ag  0.000  0.000  0.000  0.00
Y  0.500  0.500  0.294  -0.06
Y  0.500  0.500  0.706  -0.06

Calculated values
space group = P4/mmm



3.
Material: Y5TlAg2
Method: DFT, GGA-PBE
State: optimized geometry

Unit cell a=8.062 b=8.062 c=8.845 alpha=117.11 beta=117.11 gamma=90.00
Fractional positions:
Ag  0.867  0.633  0.000
Y  0.305  0.805  0.299
Y  0.500  0.500  0.000
Ag  0.133  0.367  0.000
Y  0.695  0.195  0.701
Y  0.195  0.006  0.701
Y  0.006  0.506  0.701
Y  0.000  0.000  0.000
Y  0.994  0.494  0.299
Ag  0.633  0.133  0.000
Ag  0.367  0.867  0.000
Y  0.805  0.994  0.299
Y  0.506  0.695  0.701
Tl  0.250  0.250  0.500
Y  0.494  0.305  0.299
Tl  0.750  0.750  0.500

Calculated values
space group = I4/mcm



4.
Material: Y2TlAg
Method: DFT, GGA-PBE
State: optimized geometry

Unit cell a=4.787 b=4.787 c=10.943 alpha=77.37 beta=77.37 gamma=90.00
Fractional positions:
Tl  0.750  0.250  0.500
Ag  0.250  0.750  0.500
Y  0.626  0.125  0.250
Ag  0.500  0.500  0.000
Y  0.375  0.374  0.750
Y  0.124  0.625  0.250
Y  0.875  0.876  0.750
Tl  0.000  0.000  0.000

Calculated values
E above lowest polymorph = 2.24 eV per formula unit
space group = I-42d



What magnetic moment values result from the calculations? In sequence: 0.00 0.07 0.00 0.00 μB/f.u..
What ΔE_f values result from the calculations? In sequence: -0.174 -0.377 -0.253 0.190 eV/atom.